# 1
VASP calculation (GGA-PBE) on crystalline LaGePd3 at its relaxed geometry.

Calculated values
- E_tot: -5.8146 eV/atom
- Calculated formation energy: -0.790 eV/atom
- Energy above the most stable polymorph in this dataset: 0 meV/atom
- Size of the total moment: 0.0 Bohr magnetons per cell

a = 6.1214 Å, b = 6.1214 Å, c = 5.9199 Å
α = 90.00°, β = 90.00°, γ = 117.52°
With the nearest neighbours (Å) after each atom.
Positions (direct):
La (0.2429, 0.7571, 0.7500)  8 Pd 3.07-3.37, 2 Ge 3.38
La (0.7571, 0.2429, 0.2500)  8 Pd 3.07-3.37, 2 Ge 3.38
Ge (0.0877, 0.9123, 0.2500)  5 Pd 2.42-2.49
Ge (0.9123, 0.0877, 0.7500)  5 Pd 2.42-2.49
Pd (0.2805, 0.2805, 0.0000)  2 Ge 2.49, 3 Pd 2.78-2.79
Pd (0.2805, 0.2805, 0.5000)  2 Ge 2.49, 3 Pd 2.78-2.79
Pd (0.3189, 0.6811, 0.2500)  1 Ge 2.42
Pd (0.6811, 0.3189, 0.7500)  1 Ge 2.42
Pd (0.7195, 0.7195, 0.0000)  2 Ge 2.49, 3 Pd 2.78-2.79
Pd (0.7195, 0.7195, 0.5000)  2 Ge 2.49, 3 Pd 2.78-2.79


# 2
VASP calculation (GGA-PBE) on crystalline LaGe12Pd4 at its relaxed geometry.

Calculated values
- E_tot: -5.0730 eV/atom
- Calculated formation energy: -0.302 eV/atom
- Size of the total moment: 0.0 Bohr magnetons per cell

a = 7.5576 Å, b = 7.5576 Å, c = 7.5576 Å
α = 109.47°, β = 109.47°, γ = 109.47°
With the nearest neighbours (Å) after each atom.
Positions (direct):
La (0.0000, 0.0000, 0.0000)  12 Ge 3.37
Ge (0.1517, 0.5071, 0.3554)  2 Pd 2.52, 2 Ge 2.52-2.65
Ge (0.1517, 0.7963, 0.6446)  2 Pd 2.52, 2 Ge 2.52-2.65
Ge (0.2037, 0.3554, 0.8483)  2 Pd 2.52, 2 Ge 2.52-2.65
Ge (0.3554, 0.1517, 0.5071)  2 Pd 2.52, 2 Ge 2.52-2.65
Ge (0.3554, 0.8483, 0.2037)  2 Pd 2.52, 2 Ge 2.52-2.65
Ge (0.4929, 0.6446, 0.8483)  2 Pd 2.52, 2 Ge 2.52-2.65
Ge (0.5071, 0.3554, 0.1517)  2 Pd 2.52, 2 Ge 2.52-2.65
Ge (0.6446, 0.1517, 0.7963)  2 Pd 2.52, 2 Ge 2.52-2.65
Ge (0.6446, 0.8483, 0.4929)  2 Pd 2.52, 2 Ge 2.52-2.65
Ge (0.7963, 0.6446, 0.1517)  2 Pd 2.52, 2 Ge 2.52-2.65
Ge (0.8483, 0.2037, 0.3554)  2 Pd 2.52, 2 Ge 2.52-2.65
Ge (0.8483, 0.4929, 0.6446)  2 Pd 2.52, 2 Ge 2.52-2.65
Pd (0.0000, 0.0000, 0.5000)  6 Ge 2.52
Pd (0.0000, 0.5000, 0.0000)  6 Ge 2.52
Pd (0.5000, 0.0000, 0.0000)  6 Ge 2.52
Pd (0.5000, 0.5000, 0.5000)  6 Ge 2.52


# 3
VASP calculation (GGA-PBE) on crystalline LaGePd2 at its relaxed geometry.

Calculated values
- E_tot: -5.8695 eV/atom
- Calculated formation energy: -0.887 eV/atom
- Size of the total moment: 0.0 Bohr magnetons per cell

a = 7.8091 Å, b = 7.0448 Å, c = 5.8580 Å
α = 90.00°, β = 90.00°, γ = 90.00°
With the nearest neighbours (Å) after each atom.
Positions (direct):
La (0.0343, 0.2500, 0.1531)  8 Pd 3.08-3.44, 3 Ge 3.17-3.23
La (0.4657, 0.7500, 0.6531)  8 Pd 3.08-3.44, 3 Ge 3.17-3.23
La (0.5343, 0.2500, 0.3469)  8 Pd 3.08-3.44, 3 Ge 3.17-3.23
La (0.9657, 0.7500, 0.8469)  8 Pd 3.08-3.44, 3 Ge 3.17-3.23
Ge (0.1230, 0.7500, 0.3457)  6 Pd 2.59-2.75
Ge (0.3770, 0.2500, 0.8457)  6 Pd 2.59-2.75
Ge (0.6230, 0.7500, 0.1543)  6 Pd 2.59-2.75
Ge (0.8770, 0.2500, 0.6543)  6 Pd 2.59-2.75
Pd (0.1758, 0.0515, 0.5893)  3 Ge 2.59-2.75, 1 Pd 2.80
Pd (0.1758, 0.4485, 0.5893)  3 Ge 2.59-2.75, 1 Pd 2.80
Pd (0.3242, 0.5515, 0.0893)  3 Ge 2.59-2.75, 1 Pd 2.80
Pd (0.3242, 0.9485, 0.0893)  3 Ge 2.59-2.75, 1 Pd 2.80
Pd (0.6758, 0.0515, 0.9107)  3 Ge 2.59-2.75, 1 Pd 2.80
Pd (0.6758, 0.4485, 0.9107)  3 Ge 2.59-2.75, 1 Pd 2.80
Pd (0.8242, 0.5515, 0.4107)  3 Ge 2.59-2.75, 1 Pd 2.80
Pd (0.8242, 0.9485, 0.4107)  3 Ge 2.59-2.75, 1 Pd 2.80


# 4
VASP calculation (GGA-PBE) on crystalline La3Ge2Pd2 at its relaxed geometry.

Calculated values
- E_tot: -5.7958 eV/atom
- Calculated formation energy: -0.881 eV/atom
- Size of the total moment: 0.0 Bohr magnetons per cell

a = 5.8132 Å, b = 8.4098 Å, c = 13.6994 Å
α = 90.00°, β = 90.00°, γ = 90.00°
With the nearest neighbours (Å) after each atom.
Positions (direct):
La (0.1412, 0.1040, 0.1014)  4 Pd 3.04-3.30, 3 Ge 3.16-3.26
La (0.1412, 0.1040, 0.3986)  4 Pd 3.04-3.30, 3 Ge 3.16-3.26
La (0.1412, 0.3960, 0.6014)  4 Pd 3.04-3.30, 3 Ge 3.16-3.26
La (0.1412, 0.3960, 0.8986)  4 Pd 3.04-3.30, 3 Ge 3.16-3.26
La (0.3578, 0.7427, 0.2500)  5 Ge 3.16-3.43, 4 Pd 3.18-3.25
La (0.3578, 0.7573, 0.7500)  5 Ge 3.16-3.43, 4 Pd 3.18-3.25
La (0.6422, 0.2427, 0.2500)  5 Ge 3.16-3.43, 4 Pd 3.18-3.25
La (0.6422, 0.2573, 0.7500)  5 Ge 3.16-3.43, 4 Pd 3.18-3.25
La (0.8588, 0.6040, 0.1014)  4 Pd 3.04-3.30, 3 Ge 3.16-3.26
La (0.8588, 0.6040, 0.3986)  4 Pd 3.04-3.30, 3 Ge 3.16-3.26
La (0.8588, 0.8960, 0.6014)  4 Pd 3.04-3.30, 3 Ge 3.16-3.26
La (0.8588, 0.8960, 0.8986)  4 Pd 3.04-3.30, 3 Ge 3.16-3.26
Ge (0.1445, 0.1057, 0.7500)  2 Pd 2.62
Ge (0.1445, 0.3943, 0.2500)  2 Pd 2.62
Ge (0.3206, 0.7500, 0.0000)  4 Pd 2.74-2.81
Ge (0.3206, 0.7500, 0.5000)  4 Pd 2.74-2.81
Ge (0.6794, 0.2500, 0.0000)  4 Pd 2.74-2.81
Ge (0.6794, 0.2500, 0.5000)  4 Pd 2.74-2.81
Ge (0.8555, 0.6057, 0.7500)  2 Pd 2.62
Ge (0.8555, 0.8943, 0.2500)  2 Pd 2.62
Pd (0.3825, 0.0455, 0.5920)  3 Ge 2.62-2.81
Pd (0.3825, 0.0455, 0.9080)  3 Ge 2.62-2.81
Pd (0.3825, 0.4545, 0.0920)  3 Ge 2.62-2.81
Pd (0.3825, 0.4545, 0.4080)  3 Ge 2.62-2.81
Pd (0.6175, 0.5455, 0.5920)  3 Ge 2.62-2.81
Pd (0.6175, 0.5455, 0.9080)  3 Ge 2.62-2.81
Pd (0.6175, 0.9545, 0.0920)  3 Ge 2.62-2.81
Pd (0.6175, 0.9545, 0.4080)  3 Ge 2.62-2.81


# 5
VASP calculation (GGA-PBE) on crystalline LaGePd2 at its relaxed geometry.

Calculated values
- E_tot: -5.6409 eV/atom
- Calculated formation energy: -0.658 eV/atom
- Size of the total moment: 0.0 Bohr magnetons per cell

a = 3.8697 Å, b = 4.2175 Å, c = 5.5177 Å
α = 90.00°, β = 90.00°, γ = 90.00°
With the nearest neighbours (Å) after each atom.
Positions (direct):
La (0.0000, 0.0000, 0.0000)  8 Pd 3.17, 4 Ge 3.37
Ge (0.5000, 0.0000, 0.5000)  4 Pd 2.52
Pd (0.5000, 0.5000, 0.2489)  2 Ge 2.52, 2 Pd 2.75-2.77
Pd (0.5000, 0.5000, 0.7511)  2 Ge 2.52, 2 Pd 2.75-2.77


# 6
VASP calculation (GGA-PBE) on crystalline LaGe3Pd3 at its relaxed geometry.

Calculated values
- E_tot: -5.3011 eV/atom
- Calculated formation energy: -0.393 eV/atom
- Energy above the most stable polymorph in this dataset: 114 meV/atom
- Size of the total moment: 0.0 Bohr magnetons per cell

a = 6.8172 Å, b = 6.8172 Å, c = 6.8172 Å
α = 90.00°, β = 90.00°, γ = 90.00°
With the nearest neighbours (Å) after each atom.
Positions (direct):
La (0.0000, 0.0000, 0.0000)  12 Ge 3.81, 12 Pd 3.81
La (0.5000, 0.5000, 0.5000)  12 Ge 3.81, 12 Pd 3.81
Ge (0.0000, 0.2500, 0.5000)  4 Pd 2.41
Ge (0.0000, 0.7500, 0.5000)  4 Pd 2.41
Ge (0.2500, 0.5000, 0.0000)  4 Pd 2.41
Ge (0.5000, 0.0000, 0.2500)  4 Pd 2.41
Ge (0.5000, 0.0000, 0.7500)  4 Pd 2.41
Ge (0.7500, 0.5000, 0.0000)  4 Pd 2.41
Pd (0.0000, 0.5000, 0.2500)  4 Ge 2.41
Pd (0.0000, 0.5000, 0.7500)  4 Ge 2.41
Pd (0.2500, 0.0000, 0.5000)  4 Ge 2.41
Pd (0.5000, 0.2500, 0.0000)  4 Ge 2.41
Pd (0.5000, 0.7500, 0.0000)  4 Ge 2.41
Pd (0.7500, 0.0000, 0.5000)  4 Ge 2.41


- size of the total moment of number 3 (LaGePd2)?
  0.0 Bohr magnetons per cell